Entry from Alexandria via LeMat-Bulk: an optimized crystal structure of Pr2Al2CdPt5 (PBE).

```
Pr2Al2CdPt5
1.0
10.1298 0.0000 0.0000
0.0000 10.1298 0.0000
0.0000 0.0000 3.7610
Pr Al Cd Pt
4 4 2 10
Direct
0.1806 0.3194 0.0000
0.3194 0.8194 0.0000
0.6806 0.1806 0.0000
0.8194 0.6806 0.0000
0.1174 0.6174 0.0000
0.3826 0.1174 0.0000
0.6174 0.8826 0.0000
0.8826 0.3826 0.0000
0.0000 0.0000 0.0000
0.5000 0.5000 0.0000
0.0000 0.5000 0.5000
0.0632 0.7826 0.5000
0.2174 0.0632 0.5000
0.2826 0.5632 0.5000
0.4368 0.2826 0.5000
0.5000 0.0000 0.5000
0.5632 0.7174 0.5000
0.7174 0.4368 0.5000
0.7826 0.9368 0.5000
0.9368 0.2174 0.5000
```

For the energy of formation from the pure elements, the calculation gives -8.3 eV/f.u.

=====

Entry from Alexandria via LeMat-Bulk: an optimized crystal structure of Pr2Al3CdPt4 (PBE).

```
Pr2Al3CdPt4
1.0
4.3454 0.0000 0.0000
0.0000 4.3454 0.0000
0.0000 0.0000 10.6941
Pr Al Cd Pt
2 3 1 4
Direct
0.0000 0.5000 0.2431
0.5000 0.0000 0.7569
0.0000 0.5000 0.8812
0.5000 0.0000 0.1188
0.5000 0.5000 0.5000
0.0000 0.0000 0.5000
0.0000 0.0000 0.0000
0.0000 0.5000 0.6508
0.5000 0.0000 0.3492
0.5000 0.5000 0.0000
```

For the energy of formation from the pure elements, the calculation gives -9.7 eV/f.u.

=====

Entry from Alexandria via LeMat-Bulk: an optimized crystal structure of Pr2Al2CdRh5 (PBE).

```
Pr2Al2CdRh5
1.0
10.1218 0.0000 0.0000
0.0000 10.1218 0.0000
0.0000 0.0000 3.5623
Pr Al Cd Rh
4 4 2 10
Direct
0.1780 0.3220 0.0000
0.3220 0.8220 0.0000
0.6780 0.1780 0.0000
0.8220 0.6780 0.0000
0.1197 0.6197 0.0000
0.3803 0.1197 0.0000
0.6197 0.8803 0.0000
0.8803 0.3803 0.0000
0.0000 0.0000 0.0000
0.5000 0.5000 0.0000
0.0000 0.5000 0.5000
0.0671 0.7858 0.5000
0.2142 0.0671 0.5000
0.2858 0.5671 0.5000
0.4329 0.2858 0.5000
0.5000 0.0000 0.5000
0.5671 0.7142 0.5000
0.7142 0.4329 0.5000
0.7858 0.9329 0.5000
0.9329 0.2142 0.5000
```

For the energy of formation from the pure elements, the calculation gives -6.7 eV/f.u.

=====

Entry from Alexandria via LeMat-Bulk: an optimized crystal structure of PrSmAlCd (PBE).

```
PrSmAlCd
1.0
3.6235 0.0000 0.0000
0.0000 3.6235 0.0000
0.0000 0.0000 8.2146
Pr Sm Al Cd
1 1 1 1
Direct
0.0000 0.0000 0.0000
0.0000 0.0000 0.4730
0.5000 0.5000 0.2421
0.5000 0.5000 0.7280
```

For the energy of formation from the pure elements, the calculation gives -1.4 eV/f.u.

=====

Entry from Alexandria via LeMat-Bulk: an optimized crystal structure of PrSmAlCd (PBE).

```
PrSmAlCd
1.0
0.0000 3.7927 3.7927
3.7927 0.0000 3.7927
3.7927 3.7927 0.0000
Pr Sm Al Cd
1 1 1 1
Direct
0.0000 0.0000 0.0000
0.5000 0.5000 0.5000
0.2500 0.2500 0.2500
0.7500 0.7500 0.7500
```

For the energy of formation from the pure elements, the calculation gives -1.3 eV/f.u.

=====

Entry from Alexandria via LeMat-Bulk: an optimized crystal structure of SrPrAlCd (PBE).

```
SrPrAlCd
1.0
0.0000 3.9112 3.9112
3.9112 0.0000 3.9112
3.9112 3.9112 0.0000
Sr Pr Al Cd
1 1 1 1
Direct
0.0000 0.0000 0.0000
0.5000 0.5000 0.5000
0.2500 0.2500 0.2500
0.7500 0.7500 0.7500
```

For the energy of formation from the pure elements, the calculation gives -1.0 eV/f.u.

=====

Entry from Alexandria via LeMat-Bulk: an optimized crystal structure of PrThAlCd (PBE).

```
PrThAlCd
1.0
0.0000 3.8048 3.8048
3.8048 0.0000 3.8048
3.8048 3.8048 0.0000
Pr Th Al Cd
1 1 1 1
Direct
0.0000 0.0000 0.0000
0.5000 0.5000 0.5000
0.2500 0.2500 0.2500
0.7500 0.7500 0.7500
```

For the energy of formation from the pure elements, the calculation gives -0.9 eV/f.u.

=====

Entry from Alexandria via LeMat-Bulk: an optimized crystal structure of PrTmAlCd (PBE).

```
PrTmAlCd
1.0
3.6665 0.0000 0.0000
0.0000 3.6665 0.0000
0.0000 0.0000 7.6814
Pr Tm Al Cd
1 1 1 1
Direct
0.0000 0.0000 0.0000
0.0000 0.0000 0.4756
0.5000 0.5000 0.2550
0.5000 0.5000 0.7113
```

For the energy of formation from the pure elements, the calculation gives -1.4 eV/f.u.

=====

Entry from Alexandria via LeMat-Bulk: an optimized crystal structure of PrTmAlCd (PBE).

```
PrTmAlCd
1.0
0.0000 3.7314 3.7314
3.7314 0.0000 3.7314
3.7314 3.7314 0.0000
Pr Tm Al Cd
1 1 1 1
Direct
0.0000 0.0000 0.0000
0.5000 0.5000 0.5000
0.7500 0.7500 0.7500
0.2500 0.2500 0.2500
```

For the energy of formation from the pure elements, the calculation gives -1.3 eV/f.u.

=====

Entry from Alexandria via LeMat-Bulk: an optimized crystal structure of PrYAlCd (PBE).

```
PrYAlCd
1.0
3.6857 0.0000 0.0000
0.0000 3.6857 0.0000
0.0000 0.0000 7.7708
Pr Y Al Cd
1 1 1 1
Direct
0.0000 0.0000 0.0000
0.0000 0.0000 0.4764
0.5000 0.5000 0.2505
0.5000 0.5000 0.7189
```

For the energy of formation from the pure elements, the calculation gives -1.5 eV/f.u.

=====

Entry from Alexandria via LeMat-Bulk: an optimized crystal structure of PrYAlCd (PBE).

```
PrYAlCd
1.0
0.0000 3.7587 3.7587
3.7587 0.0000 3.7587
3.7587 3.7587 0.0000
Pr Y Al Cd
1 1 1 1
Direct
0.0000 0.0000 0.0000
0.5000 0.5000 0.5000
0.2500 0.2500 0.2500
0.7500 0.7500 0.7500
```

For the energy of formation from the pure elements, the calculation gives -1.4 eV/f.u.

=====

Entry from Alexandria via LeMat-Bulk: an optimized crystal structure of Pr4AlZn2Cd (PBE).

```
Pr4AlZn2Cd
1.0
2.6621 1.5370 8.7444
-2.6621 1.5370 8.7444
0.0000 -3.0740 8.7444
Pr Al Zn Cd
4 1 2 1
Direct
0.1222 0.1222 0.1222
0.3723 0.3723 0.3723
0.6277 0.6277 0.6277
0.8778 0.8778 0.8778
0.0000 0.0000 0.0000
0.2488 0.2488 0.2488
0.7512 0.7512 0.7512
0.5000 0.5000 0.5000
```

For the energy of formation from the pure elements, the calculation gives -2.4 eV/f.u.

=====

Entry from Alexandria via LeMat-Bulk: an optimized crystal structure of Pr2Al3Zn4Cd (PBE).

```
Pr2Al3Zn4Cd
1.0
4.3393 0.0000 0.0000
0.0000 4.3393 0.0000
0.0000 0.0000 10.8376
Pr Al Zn Cd
2 3 4 1
Direct
0.0000 0.5000 0.2399
0.5000 0.0000 0.7601
0.0000 0.5000 0.8716
0.5000 0.0000 0.1284
0.5000 0.5000 0.5000
0.0000 0.0000 0.0000
0.0000 0.5000 0.6433
0.5000 0.0000 0.3567
0.5000 0.5000 0.0000
0.0000 0.0000 0.5000
```

For the energy of formation from the pure elements, the calculation gives -3.7 eV/f.u.

=====

Entry from Alexandria via LeMat-Bulk: an optimized crystal structure of PrZrAlCd (PBE).

```
PrZrAlCd
1.0
0.0000 3.6356 3.6356
3.6356 0.0000 3.6356
3.6356 3.6356 0.0000
Pr Zr Al Cd
1 1 1 1
Direct
0.0000 0.0000 0.0000
0.5000 0.5000 0.5000
0.7500 0.7500 0.7500
0.2500 0.2500 0.2500
```

For the energy of formation from the pure elements, the calculation gives -0.7 eV/f.u.

=====

Entry from Alexandria via LeMat-Bulk: an optimized crystal structure of AlCdPt4 (PBE).

```
AlCdPt4
1.0
0.0000 3.7608 3.7608
3.7608 0.0000 3.7608
3.7608 3.7608 0.0000
Al Cd Pt
1 1 4
Direct
0.0000 0.0000 0.0000
0.7500 0.7500 0.7500
0.3748 0.3748 0.3748
0.3748 0.3748 0.8755
0.3748 0.8755 0.3748
0.8755 0.3748 0.3748
```

For the energy of formation from the pure elements, the calculation gives -0.9 eV/f.u.

=====

Entry from Alexandria via LeMat-Bulk: an optimized crystal structure of AlCd2Pt (PBE).

```
AlCd2Pt
1.0
-4.5270 4.5270 2.4152
4.5270 -4.5270 2.4152
4.5270 4.5270 -2.4152
Al Cd Pt
2 4 2
Direct
0.0000 0.0000 0.0000
0.7500 0.2500 0.5000
0.2234 0.6250 0.0984
0.3750 0.4734 0.5984
0.5266 0.1250 0.9016
0.8750 0.7766 0.4016
0.2500 0.7500 0.5000
0.5000 0.5000 0.0000
```

For the energy of formation from the pure elements, the calculation gives -0.2 eV/f.u.

=====

Entry from Alexandria via LeMat-Bulk: an optimized crystal structure of AlCd2Pt (PBE).

```
AlCd2Pt
1.0
4.5784 -1.6477 0.0000
4.5784 1.6477 0.0000
-1.2213 0.0000 4.9725
Al Cd Pt
1 2 1
Direct
0.0000 0.0000 0.0000
0.2383 0.2383 0.6974
0.4725 0.4725 0.4395
0.7172 0.7172 0.1510
```

For the energy of formation from the pure elements, the calculation gives -0.9 eV/f.u.

=====

Entry from Alexandria via LeMat-Bulk: an optimized crystal structure of Al2CdPt (PBE).

```
Al2CdPt
1.0
3.1394 0.0000 0.0000
0.0000 4.5741 0.0000
-0.4941 0.0000 4.8130
Al Cd Pt
2 1 1
Direct
0.0000 0.0000 0.0000
0.4745 0.5000 0.8205
0.9384 0.5000 0.3269
0.4112 0.0000 0.5769
```

For the energy of formation from the pure elements, the calculation gives -1.3 eV/f.u.

=====

Entry from Alexandria via LeMat-Bulk: an optimized crystal structure of AlCdPt (PBE).

```
AlCdPt
1.0
-1.5123 1.5123 5.7142
1.5123 -1.5123 5.7142
1.5123 1.5123 -5.7142
Al Cd Pt
1 1 1
Direct
0.0000 0.0000 0.0000
0.6914 0.6914 0.0000
0.3771 0.3771 0.0000
```

For the energy of formation from the pure elements, the calculation gives -1.3 eV/f.u.

=====

Entry from Alexandria via LeMat-Bulk: an optimized crystal structure of AlCd2Pt (PBE).

```
AlCd2Pt
1.0
3.3800 0.0000 0.0000
0.0000 3.9604 0.0000
0.0000 0.0000 5.5092
Al Cd Pt
1 2 1
Direct
0.0000 0.0000 0.0000
0.5000 0.5000 0.2535
0.5000 0.5000 0.7465
0.0000 0.0000 0.5000
```

For the energy of formation from the pure elements, the calculation gives -0.7 eV/f.u.

=====

Entry from Alexandria via LeMat-Bulk: an optimized crystal structure of AlCdPt (PBE).

```
AlCdPt
1.0
4.4100 0.0000 0.0000
-2.2050 3.8191 0.0000
0.0000 0.0000 3.0910
Al Cd Pt
1 1 1
Direct
0.0000 0.0000 0.0000
0.6667 0.3333 0.5000
0.3333 0.6667 0.0000
```

For the energy of formation from the pure elements, the calculation gives -1.3 eV/f.u.

=====

Entry from Alexandria via LeMat-Bulk: an optimized crystal structure of Al2CdPt (PBE).

```
Al2CdPt
1.0
1.5005 0.8663 9.0181
-1.5005 0.8663 9.0181
0.0000 -1.7326 9.0181
Al Cd Pt
2 1 1
Direct
0.0000 0.0000 0.0000
0.2499 0.2499 0.2499
0.7608 0.7608 0.7608
0.5153 0.5153 0.5153
```

For the energy of formation from the pure elements, the calculation gives -1.0 eV/f.u.

=====

Entry from Alexandria via LeMat-Bulk: an optimized crystal structure of Al2CdPt (PBE).

```
Al2CdPt
1.0
-2.1232 2.1232 3.6741
2.1232 -2.1232 3.6741
2.1232 2.1232 -3.6741
Al Cd Pt
2 1 1
Direct
0.2500 0.7500 0.5000
0.7500 0.2500 0.5000
0.0000 0.0000 0.0000
0.5000 0.5000 0.0000
```

For the energy of formation from the pure elements, the calculation gives -1.1 eV/f.u.

=====

Entry from Alexandria via LeMat-Bulk: an optimized crystal structure of AlCd3Pt4 (PBE).

```
AlCd3Pt4
1.0
2.9704 0.0000 0.0000
0.0000 2.9704 0.0000
0.0000 0.0000 15.2491
Al Cd Pt
1 3 4
Direct
0.0000 0.0000 0.0000
0.0000 0.0000 0.2412
0.0000 0.0000 0.5000
0.0000 0.0000 0.7588
0.5000 0.5000 0.1019
0.5000 0.5000 0.3703
0.5000 0.5000 0.6297
0.5000 0.5000 0.8981
```

For the energy of formation from the pure elements, the calculation gives -4.3 eV/f.u.

=====

Entry from Alexandria via LeMat-Bulk: an optimized crystal structure of Al2CdPt (PBE).

```
Al2CdPt
1.0
2.7922 0.0000 0.0000
0.0000 3.3623 0.0000
0.0000 0.0000 7.6288
Al Cd Pt
2 1 1
Direct
0.0000 0.0000 0.2019
0.0000 0.0000 0.7981
0.5000 0.5000 0.5000
0.5000 0.5000 0.0000
```

For the energy of formation from the pure elements, the calculation gives -1.5 eV/f.u.

=====

Entry from Alexandria via LeMat-Bulk: an optimized crystal structure of AlCdPt6 (PBE).

```
AlCdPt6
1.0
3.9854 0.0000 0.0000
0.0000 3.9854 0.0000
0.0000 0.0000 7.9493
Al Cd Pt
1 1 6
Direct
0.0000 0.0000 0.0000
0.0000 0.0000 0.5000
0.0000 0.5000 0.2366
0.0000 0.5000 0.7634
0.5000 0.0000 0.2366
0.5000 0.0000 0.7634
0.5000 0.5000 0.0000
0.5000 0.5000 0.5000
```

For the energy of formation from the pure elements, the calculation gives -3.5 eV/f.u.

=====

Entry from Alexandria via LeMat-Bulk: an optimized crystal structure of AlCd2Pt (PBE).

```
AlCd2Pt
1.0
2.7563 -5.2884 0.0000
2.7563 5.2884 0.0000
-1.4729 0.0000 2.5361
Al Cd Pt
1 2 1
Direct
0.0000 0.0000 0.0000
0.0000 0.5000 0.0000
0.5000 0.0000 0.0000
0.5000 0.5000 0.0000
```

For the energy of formation from the pure elements, the calculation gives -0.6 eV/f.u.